Record 1
LiSm2GeO5 after structural relaxation, computed with PBE.

The structure in CIF format:
```
data_LiSm2GeO5
_cell_length_a 6.6847
_cell_length_b 6.6847
_cell_length_c 5.7767
_cell_angle_alpha 90.00
_cell_angle_beta 90.00
_cell_angle_gamma 90.00
_space_group_name_H-M_alt 'P 4/m b m'
_space_group_IT_number 127
_space_group_name_Hall '-P 4 2ab'
loop_
_atom_site_label
_atom_site_fract_x
_atom_site_fract_y
_atom_site_fract_z
Li1 0.0000 0.0000 0.0000
Sm1 0.1771 0.3229 0.5000
Ge1 0.0000 0.5000 0.0000
O1 0.0000 0.0000 0.5000
O2 0.1368 0.6368 0.2444
```

Output
DFT total energy = -6.80 eV per atom
DOS(E_F) = 3.638 states/eV/cell
formation energy (no corrections) = -2276 meV per atom

=====

Record 2
LiSm2GeO after structural relaxation, computed with PBE.

The structure in CIF format:
```
data_LiSm2GeO
_cell_length_a 4.8265
_cell_length_b 4.8265
_cell_length_c 4.1148
_cell_angle_alpha 90.00
_cell_angle_beta 90.00
_cell_angle_gamma 90.00
_space_group_name_H-M_alt 'P 4/m m m'
_space_group_IT_number 123
_space_group_name_Hall '-P 4 2'
loop_
_atom_site_label
_atom_site_fract_x
_atom_site_fract_y
_atom_site_fract_z
Li1 0.0000 0.0000 0.0000
Sm1 0.0000 0.5000 0.5000
Ge1 0.5000 0.5000 0.0000
O1 0.0000 0.0000 0.5000
```

Output
DFT total energy = -5.72 eV per atom
DOS(E_F) = 1.889 states/eV/cell
formation energy (no corrections) = -1531 meV per atom

=====

Record 3
LiSmGeO4 after structural relaxation, computed with PBE.

The structure in CIF format:
```
data_LiSmGeO4
_cell_length_a 6.0628
_cell_length_b 7.1775
_cell_length_c 8.2719
_cell_angle_alpha 90.00
_cell_angle_beta 90.00
_cell_angle_gamma 90.00
_space_group_name_H-M_alt 'I m m a'
_space_group_IT_number 74
_space_group_name_Hall '-I 2b 2'
loop_
_atom_site_label
_atom_site_fract_x
_atom_site_fract_y
_atom_site_fract_z
Li1 0.2500 0.2500 0.2500
Sm1 0.0000 0.0000 0.0000
Ge1 0.0000 0.2500 0.6090
O1 0.0000 0.0412 0.7233
O2 0.2476 0.2500 0.4822
```

Output
DFT total energy = -6.77 eV per atom
DOS(E_F) = 0.000 states/eV/cell
formation energy (no corrections) = -2331 meV per atom

=====

Record 4
Sr2LiGeO5 after structural relaxation, computed with PBE.

The structure in CIF format:
```
data_Sr2LiGeO5
_cell_length_a 3.5053
_cell_length_b 14.0555
_cell_length_c 9.6335
_cell_angle_alpha 90.00
_cell_angle_beta 90.00
_cell_angle_gamma 90.00
_space_group_name_H-M_alt 'C m c 21'
_space_group_IT_number 36
loop_
_space_group_symop_operation_xyz
'x,y,z'
'-x,-y,z+1/2'
'-x,y,z'
'x,-y,z+1/2'
'x+1/2,y+1/2,z'
'-x+1/2,-y+1/2,z+1/2'
'-x+1/2,y+1/2,z'
'x+1/2,-y+1/2,z+1/2'
loop_
_atom_site_label
_atom_site_fract_x
_atom_site_fract_y
_atom_site_fract_z
Sr1 0.0000 0.1164 0.0000
Sr2 0.0000 0.1310 0.6261
Li1 0.0000 0.2286 0.3293
Ge1 0.0000 0.4092 0.8053
O1 0.0000 0.0512 0.3685
O2 0.0000 0.3143 0.9440
O3 0.0000 0.3158 0.6721
O4 0.0000 0.3624 0.3190
O5 0.0000 0.4957 0.6576
```

Output
DFT total energy = -5.93 eV per atom
formation energy (no corrections) = -2073 meV per atom

=====

Record 5
Sr2LiGeO after structural relaxation, computed with PBE.

The structure in CIF format:
```
data_Sr2LiGeO
_cell_length_a 5.2794
_cell_length_b 5.2794
_cell_length_c 3.9561
_cell_angle_alpha 90.00
_cell_angle_beta 90.00
_cell_angle_gamma 90.00
_space_group_name_H-M_alt 'P 4/m m m'
_space_group_IT_number 123
_space_group_name_Hall '-P 4 2'
loop_
_atom_site_label
_atom_site_fract_x
_atom_site_fract_y
_atom_site_fract_z
Sr1 0.0000 0.5000 0.0000
Li1 0.0000 0.0000 0.5000
Ge1 0.5000 0.5000 0.5000
O1 0.0000 0.0000 0.0000
```

Output
DFT total energy = -4.29 eV per atom
DOS(E_F) = 1.710 states/eV/cell
formation energy (no corrections) = -1319 meV per atom

=====

Record 6
LiTaGe2O8 after structural relaxation, computed with PBE.

The structure in CIF format:
```
data_LiTaGe2O8
_cell_length_a 6.6449
_cell_length_b 6.6449
_cell_length_c 6.2798
_cell_angle_alpha 90.00
_cell_angle_beta 90.00
_cell_angle_gamma 90.00
_space_group_name_H-M_alt 'I -4 m 2'
_space_group_IT_number 119
_space_group_name_Hall 'I -4 -2'
loop_
_atom_site_label
_atom_site_fract_x
_atom_site_fract_y
_atom_site_fract_z
Li1 0.0000 0.0000 0.0000
Ta1 0.0000 0.5000 0.2500
Ge1 0.0000 0.0000 0.5000
Ge2 0.0000 0.5000 0.7500
O1 0.0000 0.2109 0.3330
O2 0.0000 0.3096 0.9503
```

Output
DFT total energy = -6.84 eV per atom
DOS(E_F) = 13.805 states/eV/cell
formation energy (no corrections) = -1616 meV per atom

=====

What did the sixth record say?
LiTaGe2O8 after structural relaxation, computed with PBE.

The structure in CIF format:
```
data_LiTaGe2O8
_cell_length_a 6.6449
_cell_length_b 6.6449
_cell_length_c 6.2798
_cell_angle_alpha 90.00
_cell_angle_beta 90.00
_cell_angle_gamma 90.00
_space_group_name_H-M_alt 'I -4 m 2'
_space_group_IT_number 119
_space_group_name_Hall 'I -4 -2'
loop_
_atom_site_label
_atom_site_fract_x
_atom_site_fract_y
_atom_site_fract_z
Li1 0.0000 0.0000 0.0000
Ta1 0.0000 0.5000 0.2500
Ge1 0.0000 0.0000 0.5000
Ge2 0.0000 0.5000 0.7500
O1 0.0000 0.2109 0.3330
O2 0.0000 0.3096 0.9503
```

Output
DFT total energy = -6.84 eV per atom
DOS(E_F) = 13.805 states/eV/cell
formation energy (no corrections) = -1616 meV per atom